# 1
Here is an optimized crystal structure of BeP from the Alexandria database. Energies are from PBE.

Its formation energy is -0.091 eV per atom. The calculated density is 2.00 g/cm³. The total magnetization is 0.0 μB per cell.

The structure belongs to space group P-3m1 (No. 164); the cell edges are 3.5976, 3.5976 and 17.7480 Å and the angles 90.00°, 90.00° and 120.00°. Symmetry generates all atoms from Be at (0.0000, 0.0000, 0.2440), Be at (0.3333, 0.6667, 0.0460), Be at (0.3333, 0.6667, 0.3708), P at (0.0000, 0.0000, 0.3644), P at (0.3333, 0.6667, 0.7959) and P at (0.3333, 0.6667, 0.9183).

=====

# 2
Here is an optimized crystal structure of BeP2 from the Alexandria database. Energies are from PBE.

Its formation energy is 0.252 eV per atom. The calculated density is 2.96 g/cm³. The total magnetization is 0.0 μB per cell.

The structure belongs to space group P-3m1 (No. 164); the cell edges are 3.2412, 3.2412 and 4.3714 Å and the angles 90.00°, 90.00° and 120.00°. Symmetry generates all atoms from Be at (0.0000, 0.0000, 0.0000) and P at (0.3333, 0.6667, 0.6652).

=====

# 3
Here is an optimized crystal structure of BeP from the Alexandria database. Energies are from PBE.

Its formation energy is 0.094 eV per atom. The calculated density is 1.92 g/cm³. The total magnetization is 0.0 μB per cell.

The structure belongs to space group P6_3/m (No. 176); the cell edges are 8.1941, 8.1941 and 3.5688 Å and the angles 90.00°, 90.00° and 120.00°. Symmetry generates all atoms from Be at (0.1394, 0.4415, 0.2500) and P at (0.0192, 0.6419, 0.2500).

=====

# 4
Here is an optimized crystal structure of BeP2 from the Alexandria database. Energies are from PBE.

Its formation energy is 0.629 eV per atom. The calculated density is 2.40 g/cm³. The total magnetization is 0.0 μB per cell.

The structure belongs to space group P6_3/mmc (No. 194); the cell edges are 4.6688, 4.6688 and 10.3926 Å and the angles 90.00°, 90.00° and 120.00°. Symmetry generates all atoms from Be at (0.3333, 0.6667, 0.0833), P at (0.0000, 0.0000, 0.0000) and P at (0.1548, 0.3097, 0.2500).

=====

# 5
Here is an optimized crystal structure of BeP2 from the Alexandria database. Energies are from PBE.

Its formation energy is 0.221 eV per atom. The calculated density is 2.58 g/cm³. The total magnetization is 0.0 μB per cell.

The structure belongs to space group C2/m (No. 12); the cell edges are 10.969, 2.406 and 7.183 Å and the angles 90.00°, 105.41° and 90.00°. Symmetry generates all atoms from Be at (0.041, 0.000, 0.348), P at (0.097, 0.500, 0.098) and P at (0.136, 0.500, 0.626).

=====

# 6
Here is an optimized crystal structure of BeP2 from the Alexandria database. Energies are from PBE.

Its formation energy is 0.908 eV per atom. The calculated density is 2.88 g/cm³. The total magnetization is 0.0 μB per cell.

The structure belongs to space group Fd-3m (No. 227, origin choice 2); the cell edges are 6.890, 6.890 and 6.890 Å and the angles 90.00°, 90.00° and 90.00°. Symmetry generates all atoms from Be at (0.125, 0.125, 0.125) and P at (0.000, 0.000, 0.500).

=====

The lowest formation energy belongs to which entry?
number 1